# NaNi3Ge5 | OQMD via LeMat-Bulk | GGA-PBE | optimized geometry
# E in eV/atom: -4.682
data_NaNi3Ge5
_space_group_name_H-M_alt 'P 6/m m m'
_space_group_IT_number 191
_space_group_name_Hall '-P 6 2'
_cell_length_a 4.8906
_cell_length_b 4.8906
_cell_length_c 7.3009
_cell_angle_alpha 90.00
_cell_angle_beta 90.00
_cell_angle_gamma 120.00
loop_
_atom_site_label
_atom_site_type_symbol
_atom_site_fract_x
_atom_site_fract_y
_atom_site_fract_z
Na1 Na 0.0000 0.0000 0.0000
Ni1 Ni 0.0000 0.5000 0.5000
Ge1 Ge 0.0000 0.0000 0.5000
Ge2 Ge 0.3333 0.6667 0.2113